Here is an optimized crystal structure of MgTl2Hg5 from Alexandria via LeMat-Bulk. Energies are from PBE-GGA. Values from VASP.

Summary:
Fermi-level density of states ... 2.07 states/eV per cell
Symmetry ... I4/mmm
Distance to the lowest polymorph of the same formula ... 0.0 meV per atom
Calculated total energy ... -1.018 eV per atom

Geometry as Quantum ESPRESSO input:
```
&SYSTEM
  ibrav = 0, nat = 8, ntyp = 3
/
ATOMIC_SPECIES
Hg 200.59 Hg.upf
Tl 204.38 Tl.upf
Mg 24.30 Mg.upf
ATOMIC_POSITIONS angstrom
Hg 1.020 4.192 5.421
Hg 1.377 -2.089 2.517
Hg -2.176 2.752 5.975
Hg -1.285 -0.426 2.851
Hg 1.911 1.014 2.297
Tl -0.809 2.886 2.838
Tl 0.545 0.879 5.434
Mg 0.000 0.000 0.000
CELL_PARAMETERS angstrom
-1.819 -3.529 3.071
4.573 -0.649 1.964
-3.018 7.942 3.237
```

Here is an optimized crystal structure of Mg3TlHg3 from Alexandria via LeMat-Bulk. Energies are from PBE-GGA. Values from VASP.

Summary:
Fermi-level density of states ... 4.92 states/eV per cell
Symmetry ... Pm-3n
Calculated total energy ... -0.981 eV per atom

Geometry as Quantum ESPRESSO input:
```
&SYSTEM
  ibrav = 0, nat = 14, ntyp = 3
/
ATOMIC_SPECIES
Tl 204.38 Tl.upf
Mg 24.30 Mg.upf
Hg 200.59 Hg.upf
ATOMIC_POSITIONS angstrom
Tl 0.000 0.000 0.000
Tl 3.875 3.875 3.875
Mg 3.875 0.000 1.937
Mg 1.937 3.875 0.000
Mg 3.875 0.000 5.812
Mg 0.000 5.812 3.875
Mg 5.812 3.875 0.000
Mg 0.000 1.937 3.875
Hg 3.875 5.812 0.000
Hg 0.000 3.875 1.937
Hg 5.812 0.000 3.875
Hg 0.000 3.875 5.812
Hg 3.875 1.937 0.000
Hg 1.937 0.000 3.875
CELL_PARAMETERS angstrom
7.750 0.000 0.000
0.000 7.750 0.000
0.000 0.000 7.750
```

Number 1: formation energy from the elements -38 meV/atom. Number 2: formation energy from the elements 169 meV/atom.